DFT (PBE) results for an optimized crystal structure of BeRe2Cl. Values from VASP.

Summary:
Final energy   -26.96 eV for the cell shown
ΔE to the lowest computed polymorph   767 meV/atom
Space-group type   Imm2
Formation energy without anion corrections   0.88 eV/atom

Structure (Quantum ESPRESSO input):
```
&SYSTEM
  ibrav = 0, nat = 4, ntyp = 3
/
ATOMIC_SPECIES
Be 9.01 Be.upf
Re 186.21 Re.upf
Cl 35.45 Cl.upf
CELL_PARAMETERS angstrom
-1.4356 2.1645 4.3739
1.4356 -2.1645 4.3739
1.4356 2.1645 -4.3739
ATOMIC_POSITIONS crystal
Be 0.0000 0.0000 0.0000
Re 0.5073 0.5073 0.0000
Re 0.7749 0.2749 0.5000
Cl 0.2695 0.7695 0.5000
```

=====

DFT (PBE) results for an optimized crystal structure of Be2ReCl. Values from VASP.

Summary:
Final energy   -20.72 eV for the cell shown
ΔE to the lowest computed polymorph   191 meV/atom
Space-group type   P2/m
Formation energy without anion corrections   0.26 eV/atom

Structure (Quantum ESPRESSO input):
```
&SYSTEM
  ibrav = 0, nat = 4, ntyp = 3
/
ATOMIC_SPECIES
Be 9.01 Be.upf
Re 186.21 Re.upf
Cl 35.45 Cl.upf
CELL_PARAMETERS angstrom
3.1248 0.0000 0.0000
0.0000 2.9512 0.0000
-1.5215 0.0000 5.7662
ATOMIC_POSITIONS crystal
Be 0.0850 0.0000 0.1897
Be 0.9150 0.0000 0.8103
Re 0.5000 0.5000 0.0000
Cl 0.0000 0.5000 0.5000
```

=====

DFT (PBE) results for an optimized crystal structure of BeRe2Cl. Values from VASP.

Summary:
Final energy   -28.29 eV for the cell shown
ΔE to the lowest computed polymorph   434 meV/atom
Space-group type   P4/mmm
Formation energy without anion corrections   0.54 eV/atom

Structure (Quantum ESPRESSO input):
```
&SYSTEM
  ibrav = 0, nat = 4, ntyp = 3
/
ATOMIC_SPECIES
Be 9.01 Be.upf
Re 186.21 Re.upf
Cl 35.45 Cl.upf
CELL_PARAMETERS angstrom
3.0091 0.0000 0.0000
0.0000 3.0091 0.0000
0.0000 0.0000 6.6414
ATOMIC_POSITIONS crystal
Be 0.0000 0.0000 0.0000
Re 0.5000 0.5000 0.1724
Re 0.5000 0.5000 0.8276
Cl 0.0000 0.0000 0.5000
```

=====

DFT (PBE) results for an optimized crystal structure of BeRe2Cl. Values from VASP.

Summary:
Final energy   -27.40 eV for the cell shown
ΔE to the lowest computed polymorph   656 meV/atom
Space-group type   Cmmm
Formation energy without anion corrections   0.77 eV/atom

Structure (Quantum ESPRESSO input):
```
&SYSTEM
  ibrav = 0, nat = 4, ntyp = 3
/
ATOMIC_SPECIES
Be 9.01 Be.upf
Re 186.21 Re.upf
Cl 35.45 Cl.upf
CELL_PARAMETERS angstrom
1.3710 -2.4312 0.0000
1.3710 2.4312 0.0000
0.0000 0.0000 8.5557
ATOMIC_POSITIONS crystal
Be 0.0000 0.0000 0.0000
Re 0.5000 0.5000 0.2325
Re 0.5000 0.5000 0.7675
Cl 0.0000 0.0000 0.5000
```

=====

DFT (PBE) results for an optimized crystal structure of BeReCl. Values from VASP.

Summary:
Final energy   -17.14 eV for the cell shown
ΔE to the lowest computed polymorph   11 meV/atom
Space-group type   P3m1
Formation energy without anion corrections   0.29 eV/atom

Structure (Quantum ESPRESSO input):
```
&SYSTEM
  ibrav = 0, nat = 3, ntyp = 3
/
ATOMIC_SPECIES
Be 9.01 Be.upf
Re 186.21 Re.upf
Cl 35.45 Cl.upf
CELL_PARAMETERS angstrom
2.7996 0.0000 0.0000
-1.3998 2.4245 0.0000
0.0000 0.0000 7.7325
ATOMIC_POSITIONS crystal
Be 0.0000 0.0000 0.0000
Re 0.3333 0.6667 0.7347
Cl 0.6667 0.3333 0.1681
```

=====

DFT (PBE) results for an optimized crystal structure of BeRe2Cl. Values from VASP.

Summary:
Final energy   -27.59 eV for the cell shown
ΔE to the lowest computed polymorph   610 meV/atom
Space-group type   R-3m
Formation energy without anion corrections   0.72 eV/atom

Structure (Quantum ESPRESSO input):
```
&SYSTEM
  ibrav = 0, nat = 4, ntyp = 3
/
ATOMIC_SPECIES
Be 9.01 Be.upf
Re 186.21 Re.upf
Cl 35.45 Cl.upf
CELL_PARAMETERS angstrom
1.3994 0.8079 8.1317
-1.3994 0.8079 8.1317
0.0000 -1.6159 8.1317
ATOMIC_POSITIONS crystal
Be 0.0000 0.0000 0.0000
Re 0.2542 0.2542 0.2542
Re 0.7458 0.7458 0.7458
Cl 0.5000 0.5000 0.5000
```

=====

DFT (PBE) results for an optimized crystal structure of Be2ReCl. Values from VASP.

Summary:
Final energy   -18.37 eV for the cell shown
ΔE to the lowest computed polymorph   779 meV/atom
Space-group type   I-4m2
Formation energy without anion corrections   0.85 eV/atom

Structure (Quantum ESPRESSO input):
```
&SYSTEM
  ibrav = 0, nat = 4, ntyp = 3
/
ATOMIC_SPECIES
Be 9.01 Be.upf
Re 186.21 Re.upf
Cl 35.45 Cl.upf
CELL_PARAMETERS angstrom
-1.6513 1.6513 4.6249
1.6513 -1.6513 4.6249
1.6513 1.6513 -4.6249
ATOMIC_POSITIONS crystal
Be 0.0000 0.0000 0.0000
Be 0.7500 0.2500 0.5000
Re 0.5000 0.5000 0.0000
Cl 0.2500 0.7500 0.5000
```

=====

DFT (PBE) results for an optimized crystal structure of Be2ReCl. Values from VASP.

Summary:
Final energy   -20.91 eV for the cell shown
ΔE to the lowest computed polymorph   144 meV/atom
Space-group type   R-3m
Formation energy without anion corrections   0.21 eV/atom

Structure (Quantum ESPRESSO input):
```
&SYSTEM
  ibrav = 0, nat = 4, ntyp = 3
/
ATOMIC_SPECIES
Be 9.01 Be.upf
Re 186.21 Re.upf
Cl 35.45 Cl.upf
CELL_PARAMETERS angstrom
1.4537 0.8393 6.9807
-1.4537 0.8393 6.9807
0.0000 -1.6786 6.9807
ATOMIC_POSITIONS crystal
Be 0.2501 0.2501 0.2501
Be 0.7499 0.7499 0.7499
Re 0.0000 0.0000 0.0000
Cl 0.5000 0.5000 0.5000
```

=====

DFT (PBE) results for an optimized crystal structure of Be2ReCl. Values from VASP.

Summary:
Final energy   -17.95 eV for the cell shown
ΔE to the lowest computed polymorph   885 meV/atom
Space-group type   I4/mmm
Formation energy without anion corrections   0.95 eV/atom

Structure (Quantum ESPRESSO input):
```
&SYSTEM
  ibrav = 0, nat = 4, ntyp = 3
/
ATOMIC_SPECIES
Be 9.01 Be.upf
Re 186.21 Re.upf
Cl 35.45 Cl.upf
CELL_PARAMETERS angstrom
-1.7467 1.7467 3.9783
1.7467 -1.7467 3.9783
1.7467 1.7467 -3.9783
ATOMIC_POSITIONS crystal
Be 0.2500 0.7500 0.5000
Be 0.7500 0.2500 0.5000
Re 0.0000 0.0000 0.0000
Cl 0.5000 0.5000 0.0000
```

=====

DFT (PBE) results for an optimized crystal structure of BeRe2Cl. Values from VASP.

Summary:
Final energy   -47.51 eV for the cell shown
ΔE to the lowest computed polymorph   1568 meV/atom
Space-group type   I-42d
Formation energy without anion corrections   1.68 eV/atom

Structure (Quantum ESPRESSO input):
```
&SYSTEM
  ibrav = 0, nat = 8, ntyp = 3
/
ATOMIC_SPECIES
Be 9.01 Be.upf
Re 186.21 Re.upf
Cl 35.45 Cl.upf
CELL_PARAMETERS angstrom
-2.6649 2.6649 4.6589
2.6649 -2.6649 4.6589
2.6649 2.6649 -4.6589
ATOMIC_POSITIONS crystal
Be 0.0000 0.0000 0.0000
Be 0.7500 0.2500 0.5000
Re 0.1086 0.6250 0.9836
Re 0.3750 0.3586 0.4836
Re 0.6414 0.1250 0.0164
Re 0.8750 0.8914 0.5164
Cl 0.2500 0.7500 0.5000
Cl 0.5000 0.5000 0.0000
```

=====

DFT (PBE) results for an optimized crystal structure of Be4ReCl. Values from VASP.

Summary:
Final energy   -26.82 eV for the cell shown
Space-group type   F-43m
Formation energy without anion corrections   0.40 eV/atom

Structure (Quantum ESPRESSO input):
```
&SYSTEM
  ibrav = 0, nat = 6, ntyp = 3
/
ATOMIC_SPECIES
Be 9.01 Be.upf
Re 186.21 Re.upf
Cl 35.45 Cl.upf
CELL_PARAMETERS angstrom
0.0000 3.1577 3.1577
3.1577 0.0000 3.1577
3.1577 3.1577 0.0000
ATOMIC_POSITIONS crystal
Be 0.1205 0.1205 0.1205
Be 0.1205 0.1205 0.6386
Be 0.1205 0.6386 0.1205
Be 0.6386 0.1205 0.1205
Re 0.7500 0.7500 0.7500
Cl 0.5000 0.5000 0.5000
```

=====

DFT (PBE) results for an optimized crystal structure of Be2ReCl. Values from VASP.

Summary:
Final energy   -36.41 eV for the cell shown
ΔE to the lowest computed polymorph   820 meV/atom
Space-group type   I-42d
Formation energy without anion corrections   0.89 eV/atom

Structure (Quantum ESPRESSO input):
```
&SYSTEM
  ibrav = 0, nat = 8, ntyp = 3
/
ATOMIC_SPECIES
Be 9.01 Be.upf
Re 186.21 Re.upf
Cl 35.45 Cl.upf
CELL_PARAMETERS angstrom
-3.0847 3.0847 2.6343
3.0847 -3.0847 2.6343
3.0847 3.0847 -2.6343
ATOMIC_POSITIONS crystal
Be 0.0963 0.6250 0.9713
Be 0.3750 0.3463 0.4713
Be 0.6537 0.1250 0.0287
Be 0.8750 0.9037 0.5287
Re 0.2500 0.7500 0.5000
Re 0.5000 0.5000 0.0000
Cl 0.0000 0.0000 0.0000
Cl 0.7500 0.2500 0.5000
```